DFT (PBE) results for crystalline CeTmMn at its relaxed geometry.

Lattice parameters (Å, degrees): 6.7053 6.7053 6.7053 151.62 151.62 40.57
Element x y z (fractional)
Ce 0.0000 0.0000 0.0000
Tm 0.2576 0.2576 0.0000
Mn 0.6194 0.6194 0.0000

Results
The calculated volume is 68 Å³/f.u. Its space-group type is I4mm, No. 107. The formation enthalpy at 0 K is 155 meV per atom.